Rb3NpCu2Br9 | GGA-PBE | relaxed

* raw formation energy: -1165 meV/atom
* ρ: 4.4 g cm⁻³
* SG: No. 164
* total energy: -3.7715 eV per atom

Cell lengths 7.832, 7.832, 9.590 Å; angles 90.00, 90.00, 120.00 degrees
Each line ends with the local moment (μB).
Positions (direct):
Rb (0.333, 0.667, 0.685)  0.00
Rb (0.000, 0.000, 0.000)  0.00
Rb (0.667, 0.333, 0.315)  0.00
Np (0.000, 0.000, 0.500)  3.43
Cu (0.333, 0.667, 0.098)  -0.08
Cu (0.667, 0.333, 0.902)  -0.08
Br (0.832, 0.168, 0.668)  -0.03
Br (0.832, 0.663, 0.668)  -0.03
Br (0.337, 0.168, 0.668)  -0.03
Br (0.663, 0.832, 0.332)  -0.03
Br (0.168, 0.337, 0.332)  -0.03
Br (0.168, 0.832, 0.332)  -0.03
Br (0.500, 0.000, 0.000)  -0.02
Br (0.000, 0.500, 0.000)  -0.02
Br (0.500, 0.500, 0.000)  -0.02